No. 1
The following is a PBE calculation of a geometry-optimized K2LaAl structure, from the Alexandria database.

abc: 3.7409 5.1305 20.1271
angles: 90.00 90.00 90.00
Space group Immm (No. 71)
Unique sites:
K1 0.0000 0.0000 0.1600 x4
La1 0.0000 0.5000 0.0000 x2
Al1 0.0000 0.5000 0.5000 x2

Results
The calculation puts the energy at -2.55 eV/atom.

***

No. 2
The following is a PBE calculation of a geometry-optimized KLaAl2 structure, from the Alexandria database.

abc: 3.5046 3.5046 10.0554
angles: 90.00 90.00 90.00
Space group P4mm (No. 99)
Unique sites:
K1 0.0000 0.0000 0.0000 x1
La1 0.5000 0.5000 0.3918 x1
Al1 0.0000 0.0000 0.5972 x1
Al2 0.5000 0.5000 0.7319 x1

Results
As for the distance to the lowest polymorph of the same formula: 0.136 eV/f.u. The calculation puts the energy at -3.30 eV/atom.

***

No. 3
The following is a PBE calculation of a geometry-optimized K2LaAl structure, from the Alexandria database.

abc: 4.0375 4.0375 38.1165
angles: 90.00 90.00 120.00
Space group R3m (No. 160, hexagonal axes)
Unique sites:
K1 0.0000 0.0000 0.0000 x3
K2 0.0000 0.0000 0.2242 x3
La1 0.0000 0.0000 0.4587 x3
Al1 0.0000 0.0000 0.7362 x3

Results
The calculation puts the energy at -2.47 eV/atom.

***

No. 4
The following is a PBE calculation of a geometry-optimized KLaAl2 structure, from the Alexandria database.

abc: 7.7734 7.7734 7.7734
angles: 90.00 90.00 90.00
Space group Fm-3m (No. 225)
Unique sites:
K1 0.0000 0.0000 0.0000 x4
La1 0.0000 0.0000 0.5000 x4
Al1 0.2500 0.2500 0.2500 x8

Results
As for the distance to the lowest polymorph of the same formula: 0.465 eV/f.u. The calculation puts the energy at -3.22 eV/atom.

***

| no. | formation enthalpy at 0 K (eV/atom) |
| --- | --- |
| 1 | 0.16 |
| 2 | 0.08 |
| 3 | 0.24 |
| 4 | 0.16 |